Here is an optimized crystal structure of Tc2BHI from Alexandria. Energies are from GGA-PBE.

## Properties
total magnetic moment = 0.000 μB/f.u.
crystal system = tetragonal
distance to the lowest polymorph of the same formula = 586.1 meV/atom
E = -21.66 eV for the cell shown
symmetry = No. 123

Cell and atoms, written as POSCAR:
```
Tc2BHI
1.0
-4.357 1.261 1.759
-0.190 -2.922 1.624
2.146 2.014 3.874
H B I Tc
1 1 1 2
direct
0.000 0.500 0.000
0.500 0.500 0.500
0.000 0.000 0.000
0.000 0.000 0.500
0.500 0.000 0.000
```

=====

Here is an optimized crystal structure of Ca2TlSnAs from Alexandria. Energies are from GGA-PBE.

## Properties
total magnetic moment = 0.000 μB/f.u.
crystal system = tetragonal
E = -16.66 eV for the cell shown
formation enthalpy at 0 K = -159 kJ/mol of formula units
symmetry = No. 123

Cell and atoms, written as POSCAR:
```
Ca2TlSnAs
1.0
-3.834 3.996 -0.087
-0.939 -0.786 5.311
3.881 3.751 1.242
As Tl Ca Sn
1 1 2 1
direct
0.000 0.000 0.000
0.000 0.500 0.000
0.000 0.000 0.500
0.500 0.000 0.000
0.500 0.500 0.500
```

=====

Q: Which of these has the lowest E?
A: Tc2BHI